# SrHg3Ge GGA-PBE optimized geometry
data_SrHg3Ge
_cell_length_a 5.385
_cell_length_b 5.385
_cell_length_c 5.385
_cell_angle_alpha 90.00
_cell_angle_beta 90.00
_cell_angle_gamma 90.00
_space_group_name_H-M_alt 'P m -3 m'
_space_group_IT_number 221
_space_group_name_Hall '-P 4 2 3'
loop_
_atom_site_label
_atom_site_type_symbol
_atom_site_fract_x
_atom_site_fract_y
_atom_site_fract_z
Sr1 Sr 0.000 0.000 0.000
Hg1 Hg 0.000 0.500 0.500
Ge1 Ge 0.500 0.500 0.500
# **DFT formation energy**: -0.4 eV/f.u.
# **N(E_F)**: 0.4468 states/eV per atom
# **Raw total energy**: -1.53 eV per atom
# **V**: 31.23 A^3/atom
# **ρ**: 8.1 g/cm³
# **Excess energy over the best structure of this formula in the dataset**: 0.0 kJ per mole of atoms
# **Spin magnetization**: 0.0 μB per formula unit